Compound: Na3Dy3CrO8
Source: Alexandria
Functional: PBE with a Hubbard U
Structure: optimized geometry

* uncorrected energy: -103.006 eV per cell
* symmetry: R-3m (166)
* magnetization: 0.133 μB/atom
* volume: 14.16 A^3/atom

Cell: 6.6513 6.6499 6.7456 Å, 119.56 89.99 120.02°
With the nearest neighbours (Å) after each atom.
Positions (direct):
O: 0.2306 0.0182 0.3058  1 Cr 2.01
Na: 0.0000 0.0000 0.0000  6 O 2.49-2.50
O: 0.7878 0.5756 0.3058  1 Cr 2.01
O: 0.2122 0.4244 0.6942  1 Cr 2.01
O: 0.7694 0.9818 0.6942  1 Cr 2.01
Na: 0.0000 0.5000 0.0000  6 O 2.49-2.50
Dy: 0.5000 0.0000 0.5000  6 O 2.25-2.31
O: 0.7874 0.0182 0.3056  1 Cr 2.02
Dy: 0.0000 0.5000 0.5000  6 O 2.25-2.31
Cr: 0.0000 0.0000 0.5000  6 O 2.01-2.02
O: 0.2126 0.9818 0.6944  1 Cr 2.02
O: 0.7372 0.4745 0.7115  3 Dy 2.25, 3 Na 2.50
Dy: 0.5000 0.5000 0.5000  6 O 2.25-2.31
Na: 0.5000 0.5000 0.0000  6 O 2.49-2.50
O: 0.2628 0.5255 0.2885  3 Dy 2.25, 3 Na 2.50